Record 1
# PBE NbZn4Cu, relaxed
# - calculated total energy (eV per atom) = -2.9997
# - M_tot (μB/cell) = 0.4
# - calculated volume (Å³ per cell) = 199
# - calculated density (Mg/m³) = 6.96
data_NbZn4Cu
_cell_length_a 5.960
_cell_length_b 5.960
_cell_length_c 7.021
_cell_angle_alpha 64.87
_cell_angle_beta 64.87
_cell_angle_gamma 89.96
_space_group_name_H-M_alt 'P 1'
_space_group_IT_number 1
loop_
_space_group_symop_operation_xyz
'x,y,z'
loop_
_atom_site_label
_atom_site_type_symbol
_atom_site_fract_x
_atom_site_fract_y
_atom_site_fract_z
Nb1 Nb 0.500 0.500 0.000
Nb2 Nb 0.000 0.000 0.000
Zn1 Zn 0.028 0.195 0.276
Zn2 Zn 0.195 0.695 0.276
Zn3 Zn 0.528 0.028 0.276
Zn4 Zn 0.472 0.972 0.724
Zn5 Zn 0.805 0.305 0.724
Zn6 Zn 0.972 0.805 0.724
Zn7 Zn 0.305 0.472 0.724
Zn8 Zn 0.695 0.528 0.276
Cu1 Cu 0.750 0.750 0.500
Cu2 Cu 0.250 0.250 0.500

***

Record 2
# PBE Tc24Sb5, relaxed
# - M_tot (μB/cell) = 0.0
# - calculated volume (Å³ per cell) = 457
# - calculated density (Mg/m³) = 10.77
# - ΔE_f (raw) (meV per atom) = 97.2
data_Tc24Sb5
_cell_length_a 8.402
_cell_length_b 8.402
_cell_length_c 8.402
_cell_angle_alpha 109.47
_cell_angle_beta 109.47
_cell_angle_gamma 109.47
_space_group_name_H-M_alt 'P 1'
_space_group_IT_number 1
loop_
_space_group_symop_operation_xyz
'x,y,z'
loop_
_atom_site_label
_atom_site_type_symbol
_atom_site_fract_x
_atom_site_fract_y
_atom_site_fract_z
Sb1 Sb 0.000 0.625 0.000
Sb2 Sb 0.625 0.000 0.000
Sb3 Sb 0.000 0.000 0.625
Sb4 Sb 0.375 0.375 0.375
Sb5 Sb 0.000 0.000 0.000
Tc1 Tc 0.195 0.377 0.000
Tc2 Tc 0.377 0.195 0.000
Tc3 Tc 0.805 0.805 0.182
Tc4 Tc 0.623 0.623 0.818
Tc5 Tc 0.805 0.182 0.805
Tc6 Tc 0.623 0.818 0.623
Tc7 Tc 0.377 0.000 0.195
Tc8 Tc 0.195 0.000 0.377
Tc9 Tc 0.000 0.377 0.195
Tc10 Tc 0.000 0.195 0.377
Tc11 Tc 0.818 0.623 0.623
Tc12 Tc 0.182 0.805 0.805
Tc13 Tc 0.680 0.397 0.000
Tc14 Tc 0.397 0.680 0.000
Tc15 Tc 0.320 0.320 0.718
Tc16 Tc 0.603 0.603 0.282
Tc17 Tc 0.320 0.718 0.320
Tc18 Tc 0.603 0.282 0.603
Tc19 Tc 0.397 0.000 0.680
Tc20 Tc 0.680 0.000 0.397
Tc21 Tc 0.000 0.397 0.680
Tc22 Tc 0.000 0.680 0.397
Tc23 Tc 0.282 0.603 0.603
Tc24 Tc 0.718 0.320 0.320

***

Record 3
# PBE AcHg2P, relaxed
# - calculated total energy (eV per atom) = -3.0754
# - M_tot (μB/cell) = 0.0
# - calculated volume (Å³ per cell) = 109
# - calculated density (Mg/m³) = 10.05
data_AcHg2P
_cell_length_a 5.615
_cell_length_b 4.403
_cell_length_c 4.403
_cell_angle_alpha 90.00
_cell_angle_beta 90.00
_cell_angle_gamma 90.00
_space_group_name_H-M_alt 'P 1'
_space_group_IT_number 1
loop_
_space_group_symop_operation_xyz
'x,y,z'
loop_
_atom_site_label
_atom_site_type_symbol
_atom_site_fract_x
_atom_site_fract_y
_atom_site_fract_z
P1 P 0.500 0.000 0.000
Ac1 Ac 0.500 0.500 0.500
Hg1 Hg 0.000 0.000 0.500
Hg2 Hg 0.000 0.500 0.000